(1)
Crystalline Rb2TcN2 at its relaxed geometry. Source: Alexandria via LeMat-Bulk, functional GGA-PBE.

```
data_Rb2TcN2
_chemical_formula_sum 'Rb4 Tc2 N4'
_space_group_name_H-M_alt 'P 1'
_space_group_IT_number 1
_space_group_name_Hall 'P 1'
_cell_length_a 10.403
_cell_length_b 10.403
_cell_length_c 6.417
_cell_angle_alpha 90.00
_cell_angle_beta 90.00
_cell_angle_gamma 160.39
loop_
_atom_site_label
_atom_site_type_symbol
_atom_site_fract_x
_atom_site_fract_y
_atom_site_fract_z
_atom_site_occupancy
Rb1 Rb 0.027 0.973 0.500 1
Rb2 Rb 0.196 0.804 0.643 1
Rb3 Rb 0.804 0.196 0.143 1
Rb4 Rb 0.973 0.027 0.000 1
Tc1 Tc 0.372 0.628 0.578 1
Tc2 Tc 0.628 0.372 0.078 1
N1 N 0.147 0.853 0.185 1
N2 N 0.411 0.589 0.341 1
N3 N 0.589 0.411 0.841 1
N4 N 0.853 0.147 0.685 1
```

Values from the calculation:
The raw total energy is -29.17 eV per formula unit. The uncorrected formation energy is -0.22 eV/f.u. Its space group is No. 36. Its crystal system is orthorhombic.


(2)
Crystalline RbTcTeN2 at its relaxed geometry. Source: Alexandria via LeMat-Bulk, functional GGA-PBE.

```
data_RbTcTeN2
_chemical_formula_sum 'Rb1 Tc1 Te1 N2'
_space_group_name_H-M_alt 'P 1'
_space_group_IT_number 1
_space_group_name_Hall 'P 1'
_cell_length_a 4.132
_cell_length_b 4.132
_cell_length_c 6.740
_cell_angle_alpha 90.00
_cell_angle_beta 90.00
_cell_angle_gamma 90.00
loop_
_atom_site_label
_atom_site_type_symbol
_atom_site_fract_x
_atom_site_fract_y
_atom_site_fract_z
_atom_site_occupancy
Rb1 Rb 0.000 0.000 0.000 1
Tc1 Tc 0.500 0.500 0.500 1
Te1 Te 0.000 0.000 0.500 1
N1 N 0.000 0.500 0.000 1
N2 N 0.500 0.000 0.000 1
```

Values from the calculation:
The raw total energy is -15.62 eV per formula unit. The uncorrected formation energy is 15.50 eV/f.u. Its space group is No. 123. Its crystal system is tetragonal.


(3)
Crystalline RbTcTe2N at its relaxed geometry. Source: Alexandria via LeMat-Bulk, functional GGA-PBE.

```
data_RbTcTe2N
_chemical_formula_sum 'Rb1 Tc1 Te2 N1'
_space_group_name_H-M_alt 'P 1'
_space_group_IT_number 1
_space_group_name_Hall 'P 1'
_cell_length_a 5.853
_cell_length_b 5.853
_cell_length_c 3.761
_cell_angle_alpha 90.00
_cell_angle_beta 90.00
_cell_angle_gamma 90.00
loop_
_atom_site_label
_atom_site_type_symbol
_atom_site_fract_x
_atom_site_fract_y
_atom_site_fract_z
_atom_site_occupancy
Rb1 Rb 0.000 0.000 0.000 1
Tc1 Tc 0.500 0.500 0.500 1
Te1 Te 0.000 0.500 0.500 1
Te2 Te 0.500 0.000 0.500 1
N1 N 0.500 0.500 0.000 1
```

Values from the calculation:
The raw total energy is -25.75 eV per formula unit. The uncorrected formation energy is 0.20 eV/f.u. Its space group is No. 123. Its crystal system is tetragonal.


(4)
Crystalline RbTcTe2N at its relaxed geometry. Source: Alexandria via LeMat-Bulk, functional GGA-PBE.

```
data_RbTcTe2N
_chemical_formula_sum 'Rb1 Tc1 Te2 N1'
_space_group_name_H-M_alt 'P 1'
_space_group_IT_number 1
_space_group_name_Hall 'P 1'
_cell_length_a 6.268
_cell_length_b 6.268
_cell_length_c 4.987
_cell_angle_alpha 90.00
_cell_angle_beta 90.00
_cell_angle_gamma 90.00
loop_
_atom_site_label
_atom_site_type_symbol
_atom_site_fract_x
_atom_site_fract_y
_atom_site_fract_z
_atom_site_occupancy
Rb1 Rb 0.000 0.000 0.000 1
Tc1 Tc 0.500 0.500 0.500 1
Te1 Te 0.000 0.500 0.000 1
Te2 Te 0.500 0.000 0.000 1
N1 N 0.000 0.000 0.500 1
```

Values from the calculation:
The raw total energy is -14.82 eV per formula unit. The uncorrected formation energy is 11.12 eV/f.u. Its space group is No. 123. Its crystal system is tetragonal.


Calculated values (Mg/m³) of ρ for the records, taken in order: 4.23; 4.89; 5.83; 3.84.